A plane-wave DFT calculation with PBE-GGA was carried out for a relaxed structure of Sr2ScAs4Pt3.

Results
- M_tot (μB/f.u.) = 0.00
- formation enthalpy at 0 K (eV/atom) = -0.941

POSCAR file:
```
Sr2ScAs4Pt3
1.0
-1.9751 -3.9664 -0.4906
2.8926 -1.7963 2.8775
-6.6037 2.2904 8.0683
Sr Sc As Pt
2 1 4 3
Direct
0.5000 0.0000 0.2348 Sr
0.0000 0.5000 0.7652 Sr
0.5000 0.5000 0.5000 Sc
0.5000 0.5000 0.0000 As
0.0000 0.0000 0.0000 As
0.5000 0.0000 0.6425 As
0.0000 0.5000 0.3575 As
0.0000 0.0000 0.5000 Pt
0.5000 0.0000 0.8851 Pt
0.0000 0.5000 0.1149 Pt
```

A plane-wave DFT calculation with PBE-GGA was carried out for a relaxed structure of Na2DyAsO4.

Results
- raw formation energy (eV per atom) = -1.97
- M_tot (μB/f.u.) = 0.00

POSCAR file:
```
Na2DyAsO4
1.0
3.3496 0.0000 0.0000
0.0000 5.7426 0.1034
0.0000 -2.0031 5.5223
Na Dy As O
2 1 1 4
Direct
0.5000 0.0000 0.5000 Na
0.0000 0.5000 0.5000 Na
0.5000 0.5000 0.0000 Dy
0.0000 0.0000 0.0000 As
0.5000 0.2336 0.2160 O
0.5000 0.7664 0.7840 O
0.0000 0.2554 0.7883 O
0.0000 0.7446 0.2117 O
```

A plane-wave DFT calculation with PBE-GGA was carried out for a relaxed structure of Pm3SmZn8.

Results
- M_tot (μB/f.u.) = 0.00
- formation enthalpy at 0 K (eV/atom) = -0.310

POSCAR file:
```
Pm3SmZn8
1.0
-3.8426 -4.1620 -0.0938
4.8418 -0.6789 2.8622
-3.7505 3.3021 7.1277
Pm Sm Zn
3 1 8
Direct
0.6667 0.3333 0.4471 Pm
0.6667 0.3333 0.0530 Pm
0.0000 0.0000 0.9463 Pm
0.0000 0.0000 0.5531 Sm
0.3333 0.6667 0.4997 Zn
0.3333 0.6667 0.0004 Zn
0.4980 0.9960 0.7497 Zn
0.4980 0.5020 0.7497 Zn
0.0040 0.5020 0.7497 Zn
0.1682 0.3364 0.2504 Zn
0.1682 0.8318 0.2504 Zn
0.6636 0.8318 0.2504 Zn
```

A plane-wave DFT calculation with PBE-GGA was carried out for a relaxed structure of LiTm2Si4Ir3.

Results
- raw formation energy (eV per atom) = -0.89
- M_tot (μB/f.u.) = 0.00

POSCAR file:
```
LiTm2Si4Ir3
1.0
-2.7783 -1.9456 2.3192
0.3111 -3.3147 -2.4081
7.2330 -3.4895 5.7375
Li Tm Si Ir
1 2 4 3
Direct
0.5000 0.5000 0.5000 Li
0.5000 0.0000 0.2461 Tm
0.0000 0.5000 0.7539 Tm
0.5000 0.5000 0.0000 Si
0.0000 0.0000 0.0000 Si
0.5000 0.0000 0.6316 Si
0.0000 0.5000 0.3684 Si
0.0000 0.0000 0.5000 Ir
0.5000 0.0000 0.8713 Ir
0.0000 0.5000 0.1287 Ir
```

A plane-wave DFT calculation with PBE-GGA was carried out for a relaxed structure of In2SnPb.

Results
- M_tot (μB/f.u.) = 0.00
- formation enthalpy at 0 K (eV/atom) = 0.024

POSCAR file:
```
In2SnPb
1.0
-1.6592 0.2780 -2.9668
2.8481 -0.8505 -1.6725
-2.5323 -9.5130 0.5249
Pb Sn In
1 1 2
Direct
0.0000 0.0000 0.0032 Pb
0.5000 0.5000 0.2563 Sn
0.0000 0.0000 0.4977 In
0.5000 0.5000 0.7428 In
```

A plane-wave DFT calculation with PBE-GGA was carried out for a relaxed structure of HAuS.

Results
- electronic total energy (eV/cell) = -10.66
- M_tot (μB/f.u.) = 0.00

POSCAR file:
```
HAuS
1.0
-1.8556 3.1809 -0.4643
-3.7473 -2.3054 -0.8175
-0.1136 -1.1227 3.6867
H Au S
1 1 1
Direct
0.5800 0.5000 0.7861 H
0.4178 0.0000 0.1415 Au
0.3201 0.5000 0.9615 S
```

A plane-wave DFT calculation with PBE-GGA was carried out for a relaxed structure of PrYTl.

Results
- M_tot (μB/f.u.) = 0.01
- formation enthalpy at 0 K (eV/atom) = 0.129

POSCAR file:
```
PrYTl
1.0
-1.0215 -1.9804 -3.0828
-4.7704 -4.3697 4.3879
-6.0713 4.8050 -1.0751
Tl Pr Y
2 2 2
Direct
0.0000 0.0000 0.0000 Tl
0.5000 0.5000 0.5000 Tl
0.0000 0.7236 0.7236 Pr
0.0000 0.2764 0.2764 Pr
0.5000 0.2216 0.7784 Y
0.5000 0.7784 0.2216 Y
```

A plane-wave DFT calculation with PBE-GGA was carried out for a relaxed structure of KFeBr2.

Results
- raw formation energy (eV per atom) = -0.57
- M_tot (μB/f.u.) = 3.04

POSCAR file:
```
KFeBr2
1.0
4.5210 0.0000 0.0000
0.0000 4.6282 0.1623
0.0000 1.3434 6.3073
Br Fe K
2 1 1
Direct
0.0000 0.1670 0.9471 Br
0.5000 0.3629 0.4106 Br
0.0000 0.2654 0.3052 Fe
0.5000 0.7048 0.8371 K
```

A plane-wave DFT calculation with PBE-GGA was carried out for a relaxed structure of SnHOs2Cl.

Results
- electronic total energy (eV/cell) = -21.80
- M_tot (μB/f.u.) = 1.44

POSCAR file:
```
SnHOs2Cl
1.0
-0.6280 -1.5628 -4.8394
5.0285 -0.9184 -0.3560
-0.5022 -3.1718 1.0894
H Os Sn Cl
1 2 1 1
Direct
0.0000 0.0000 0.5000 H
0.0000 0.5000 0.0000 Os
0.5000 0.0000 0.0000 Os
0.0000 0.0000 0.0000 Sn
0.5000 0.5000 0.5000 Cl
```

A plane-wave DFT calculation with PBE-GGA was carried out for a relaxed structure of Nd3TeC.

Results
- raw formation energy (eV per atom) = -0.53
- M_tot (μB/f.u.) = 0.76

POSCAR file:
```
Nd3TeC
1.0
6.3642 -0.0992 -1.2571
-1.7062 9.3573 -0.3684
0.0946 -0.3229 9.5128
Nd Te C
12 4 4
Direct
0.5521 0.1972 0.0034 Nd
0.9479 0.9966 0.8028 Nd
0.4479 0.8028 0.9966 Nd
0.0521 0.0034 0.1972 Nd
0.9189 0.6509 0.0570 Nd
0.5811 0.9430 0.3491 Nd
0.0811 0.3491 0.9430 Nd
0.4189 0.0570 0.6509 Nd
0.4627 0.5763 0.2642 Nd
0.0373 0.7358 0.4237 Nd
0.5373 0.4237 0.7358 Nd
0.9627 0.2642 0.5763 Nd
0.9404 0.4010 0.2592 Te
0.5596 0.7408 0.5990 Te
0.0596 0.5990 0.7408 Te
0.4404 0.2592 0.4010 Te
0.2500 0.2169 0.7831 C
0.7500 0.7831 0.2169 C
0.2500 0.7802 0.2198 C
0.7500 0.2198 0.7802 C
```

A plane-wave DFT calculation with PBE-GGA was carried out for a relaxed structure of DyIClO4.

Results
- raw formation energy (eV per atom) = -1.33
- M_tot (μB/f.u.) = 1.00

POSCAR file:
```
DyIClO4
1.0
-4.7887 3.8366 1.2689
-5.2958 -2.3022 -2.4320
-2.3248 -3.1335 5.5161
Dy I Cl O
2 2 2 8
Direct
0.2153 0.2153 0.8853 Dy
0.7847 0.7847 0.1147 Dy
0.6292 0.6292 0.6941 I
0.3708 0.3708 0.3059 I
0.0242 0.0242 0.2305 Cl
0.9758 0.9758 0.7695 Cl
0.2326 0.2326 0.5367 O
0.7674 0.7674 0.4633 O
0.1285 0.4897 0.1472 O
0.5552 0.5552 0.2131 O
0.5103 0.8715 0.8528 O
0.4897 0.1285 0.1472 O
0.4448 0.4448 0.7869 O
0.8715 0.5103 0.8528 O
```

A plane-wave DFT calculation with PBE-GGA was carried out for a relaxed structure of La2Er3Tl2.

Results
- M_tot (μB/f.u.) = 0.00
- formation enthalpy at 0 K (eV/atom) = -0.172

POSCAR file:
```
La2Er3Tl2
1.0
-3.0557 2.7482 2.2760
-3.1613 -4.4158 -3.7607
2.1081 -3.5970 7.1734
La Er Tl
2 3 2
Direct
0.8617 0.7233 0.2105 La
0.1383 0.2767 0.7895 La
0.5000 0.0000 0.0000 Er
0.6270 0.2540 0.4446 Er
0.3730 0.7460 0.5554 Er
0.8392 0.6784 0.7879 Tl
0.1608 0.3216 0.2121 Tl
```